(1)
Computed, not measured: LiTaSe after structural relaxation at the PBE level of DFT.

The structure in POSCAR format:
```
LiTaSe
1.0
-3.568 -2.236 0.577
-1.503 -2.449 -3.131
0.176 -4.233 0.342
Li Se Ta
1 1 1
direct
0.500 0.500 0.500
0.750 0.750 0.750
0.000 0.000 0.000
```

Properties
Formation energy from raw total energies: 52 kJ/mol of formula units
D(E_F): 2.674 states/eV/f.u.
Size of the total moment: 1.510 μB per formula unit
Polymorph energy (0 for the lowest one): 40.2 kJ per mole of atoms



(2)
Computed, not measured: LiTaSe3 after structural relaxation at the PBE level of DFT.

The structure in POSCAR format:
```
LiTaSe3
1.0
-7.241 -19.363 -0.418
3.720 -1.267 -5.767
4.983 5.823 1.935
Ta Li Se
4 4 12
direct
0.116 0.341 0.594
0.616 0.159 0.094
0.384 0.841 0.906
0.884 0.659 0.406
0.576 0.297 0.605
0.424 0.703 0.395
0.924 0.797 0.895
0.076 0.203 0.105
0.259 0.984 0.858
0.496 0.829 0.861
0.004 0.329 0.639
0.615 0.651 0.581
0.115 0.849 0.081
0.759 0.516 0.358
0.385 0.349 0.419
0.741 0.016 0.142
0.241 0.484 0.642
0.885 0.151 0.919
0.996 0.671 0.361
0.504 0.171 0.139
```

Properties
Formation energy from raw total energies: -336 kJ/mol of formula units
D(E_F): 0.000 states/eV/f.u.
Size of the total moment: 0.000 μB per formula unit
Polymorph energy (0 for the lowest one): 16.9 kJ per mole of atoms



(3)
Computed, not measured: LiTaSe3 after structural relaxation at the PBE level of DFT.

The structure in POSCAR format:
```
LiTaSe3
1.0
6.770 -0.093 -0.046
1.044 6.376 -0.150
3.627 1.573 5.717
Se Ta Li
6 2 2
direct
0.488 0.621 0.801
0.748 0.763 0.203
0.762 0.255 0.226
0.157 0.263 0.499
0.143 0.755 0.535
0.417 0.121 0.836
0.449 0.479 0.519
0.456 0.979 0.515
0.770 0.138 0.885
0.136 0.638 0.202
```

Properties
Formation energy from raw total energies: -413 kJ/mol of formula units
D(E_F): 0.000 states/eV/f.u.
Size of the total moment: 0.000 μB per formula unit
Polymorph energy (0 for the lowest one): 1.4 kJ per mole of atoms



(4)
Computed, not measured: Li2TaSe after structural relaxation at the PBE level of DFT.

The structure in POSCAR format:
```
Li2TaSe
1.0
-1.986 1.911 -0.569
0.892 -1.078 -2.442
-6.397 -6.492 0.529
Ta Li Se
1 2 1
direct
0.500 0.500 0.750
0.000 0.000 0.471
0.000 0.000 0.029
0.500 0.500 0.250
```

Properties
Formation energy from raw total energies: -18 kJ/mol of formula units
D(E_F): 2.128 states/eV/f.u.
Size of the total moment: 0.000 μB per formula unit



(5)
Computed, not measured: LiTaSe2 after structural relaxation at the PBE level of DFT.

The structure in POSCAR format:
```
LiTaSe2
1.0
-0.037 -4.382 -1.492
-3.589 -1.576 -2.461
0.509 -0.914 -4.509
Ta Se Li
1 2 1
direct
0.500 0.500 0.500
0.750 0.750 0.750
0.250 0.250 0.250
0.000 0.000 0.000
```

Properties
Formation energy from raw total energies: -165 kJ/mol of formula units
D(E_F): 0.820 states/eV/f.u.
Size of the total moment: 1.939 μB per formula unit



(6)
Computed, not measured: LiTa2Se4 after structural relaxation at the PBE level of DFT.

The structure in POSCAR format:
```
LiTa2Se4
1.0
-2.163 -4.187 -5.911
-4.145 -4.342 4.596
-1.054 7.483 -0.087
Se Li Ta
8 2 4
direct
0.386 0.129 0.258
0.379 0.622 0.758
0.872 0.129 0.258
0.864 0.621 0.242
0.378 0.621 0.242
0.871 0.614 0.742
0.871 0.128 0.742
0.379 0.136 0.758
0.000 0.999 0.000
0.250 0.751 0.500
0.625 0.375 0.750
0.125 0.375 0.750
0.625 0.375 0.250
0.625 0.875 0.250
```

Properties
Formation energy from raw total energies: -489 kJ/mol of formula units
D(E_F): 3.935 states/eV/f.u.
Size of the total moment: 0.000 μB per formula unit
Polymorph energy (0 for the lowest one): 0.0 kJ per mole of atoms